Record 1
Entry from OQMD: MgCu5Si2 after structural relaxation (GGA-PBE).

Cell and atoms, written as POSCAR:
```
MgCu5Si2
1.0
4.172 0.000 0.000
0.000 4.172 0.000
0.000 0.000 5.820
Mg Cu Si
1 5 2
Direct
0.000 0.000 0.000 Mg
0.000 0.500 0.260 Cu
0.000 0.500 0.740 Cu
0.500 0.000 0.260 Cu
0.500 0.000 0.740 Cu
0.500 0.500 0.500 Cu
0.000 0.000 0.500 Si
0.500 0.500 0.000 Si
```

## Properties
E_tot   -0.2862 Ry/atom
Volume   101.3 Å³/cell

=====

Record 2
Entry from OQMD: Mg2CuSi4 after structural relaxation (GGA-PBE).

Cell and atoms, written as POSCAR:
```
Mg2CuSi4
1.0
3.804 0.000 0.000
-1.902 3.295 0.000
0.000 0.000 11.368
Mg Cu Si
2 1 4
Direct
0.333 0.667 0.205 Mg
0.667 0.333 0.795 Mg
0.000 0.000 0.500 Cu
0.333 0.667 0.434 Si
0.333 0.667 0.953 Si
0.667 0.333 0.047 Si
0.667 0.333 0.566 Si
```

## Properties
E_tot   -0.2878 Ry/atom
Volume   142.5 Å³/cell

=====

Record 3
Entry from OQMD: MgCu5Si2 after structural relaxation (GGA-PBE).

Cell and atoms, written as POSCAR:
```
MgCu5Si2
1.0
4.171 0.000 0.000
0.000 4.171 0.000
0.000 0.000 5.822
Mg Cu Si
1 5 2
Direct
0.000 0.000 0.000 Mg
0.000 0.500 0.260 Cu
0.000 0.500 0.740 Cu
0.500 0.000 0.260 Cu
0.500 0.000 0.740 Cu
0.500 0.500 0.500 Cu
0.000 0.000 0.500 Si
0.500 0.500 0.000 Si
```

## Properties
E_tot   -0.2862 Ry/atom
Volume   101.3 Å³/cell

=====

Record 4
Entry from OQMD: SrMgCuSi2 after structural relaxation (GGA-PBE).

Cell and atoms, written as POSCAR:
```
SrMgCuSi2
1.0
-2.143 2.143 5.372
2.143 -2.143 5.372
2.143 2.143 -5.372
Sr Mg Cu Si
1 1 1 2
Direct
0.000 0.000 0.000 Sr
0.250 0.750 0.500 Mg
0.750 0.250 0.500 Cu
0.389 0.389 0.000 Si
0.611 0.611 0.000 Si
```

## Properties
E_tot   -0.2853 Ry/atom
Volume   98.7 Å³/cell

=====

Record 5
Entry from OQMD: MgTaCuSi after structural relaxation (GGA-PBE).

Cell and atoms, written as POSCAR:
```
MgTaCuSi
1.0
0.000 3.130 3.130
3.130 0.000 3.130
3.130 3.130 0.000
Mg Ta Cu Si
1 1 1 1
Direct
0.000 0.000 0.000 Mg
0.250 0.250 0.250 Ta
0.750 0.750 0.750 Cu
0.500 0.500 0.500 Si
```

## Properties
E_tot   -0.3917 Ry/atom
Offset from the most stable computed form   0.0000 eV/atom
Volume   61.3 Å³/cell

=====

Record 6
Entry from OQMD: MgTaCuSi after structural relaxation (GGA-PBE).

Cell and atoms, written as POSCAR:
```
MgTaCuSi
1.0
0.000 3.155 3.155
3.155 0.000 3.155
3.155 3.155 0.000
Mg Ta Cu Si
1 1 1 1
Direct
0.000 0.000 0.000 Mg
0.750 0.750 0.750 Ta
0.500 0.500 0.500 Cu
0.250 0.250 0.250 Si
```

## Properties
E_tot   -0.3691 Ry/atom
Offset from the most stable computed form   0.3075 eV/atom
Volume   62.8 Å³/cell

=====

Record 7
Entry from OQMD: MgCuSiW after structural relaxation (GGA-PBE).

Cell and atoms, written as POSCAR:
```
MgCuSiW
1.0
0.000 3.057 3.057
3.057 0.000 3.057
3.057 3.057 0.000
Mg Cu Si W
1 1 1 1
Direct
0.000 0.000 0.000 Mg
0.750 0.750 0.750 Cu
0.500 0.500 0.500 Si
0.250 0.250 0.250 W
```

## Properties
E_tot   -0.4061 Ry/atom
Offset from the most stable computed form   0.0000 eV/atom
Volume   57.1 Å³/cell

=====

Record 8
Entry from OQMD: YMgCuSi after structural relaxation (GGA-PBE).

Cell and atoms, written as POSCAR:
```
YMgCuSi
1.0
0.000 3.313 3.313
3.313 0.000 3.313
3.313 3.313 0.000
Y Mg Cu Si
1 1 1 1
Direct
0.000 0.000 0.000 Y
0.750 0.750 0.750 Mg
0.500 0.500 0.500 Cu
0.250 0.250 0.250 Si
```

## Properties
E_tot   -0.3189 Ry/atom
Offset from the most stable computed form   0.0000 eV/atom
Volume   72.7 Å³/cell

=====

Record 9
Entry from OQMD: YMgCuSi after structural relaxation (GGA-PBE).

Cell and atoms, written as POSCAR:
```
YMgCuSi
1.0
0.000 3.313 3.313
3.313 0.000 3.313
3.313 3.313 0.000
Y Mg Cu Si
1 1 1 1
Direct
0.000 0.000 0.000 Y
0.250 0.250 0.250 Mg
0.750 0.750 0.750 Cu
0.500 0.500 0.500 Si
```

## Properties
E_tot   -0.3166 Ry/atom
Offset from the most stable computed form   0.0308 eV/atom
Volume   72.7 Å³/cell

=====

Record 10
Entry from OQMD: MgZnCuSi after structural relaxation (GGA-PBE).

Cell and atoms, written as POSCAR:
```
MgZnCuSi
1.0
0.000 3.118 3.118
3.118 0.000 3.118
3.118 3.118 0.000
Mg Zn Cu Si
1 1 1 1
Direct
0.000 0.000 0.000 Mg
0.750 0.750 0.750 Zn
0.500 0.500 0.500 Cu
0.250 0.250 0.250 Si
```

## Properties
E_tot   -0.2102 Ry/atom
Offset from the most stable computed form   0.0027 eV/atom
Volume   60.6 Å³/cell

=====

Record 11
Entry from OQMD: MgZnCuSi after structural relaxation (GGA-PBE).

Cell and atoms, written as POSCAR:
```
MgZnCuSi
1.0
0.000 3.106 3.106
3.106 0.000 3.106
3.106 3.106 0.000
Mg Zn Cu Si
1 1 1 1
Direct
0.000 0.000 0.000 Mg
0.750 0.750 0.750 Zn
0.250 0.250 0.250 Cu
0.500 0.500 0.500 Si
```

## Properties
E_tot   -0.2104 Ry/atom
Offset from the most stable computed form   0.0000 eV/atom
Volume   59.9 Å³/cell

=====

Record 12
Entry from OQMD: SmMgCu after structural relaxation (GGA-PBE).

Cell and atoms, written as POSCAR:
```
SmMgCu
1.0
0.000 3.436 3.436
3.436 0.000 3.436
3.436 3.436 0.000
Sm Mg Cu
1 1 1
Direct
0.000 0.000 0.000 Sm
0.250 0.250 0.250 Mg
0.750 0.750 0.750 Cu
```

## Properties
E_tot   -0.2060 Ry/atom
Volume   81.2 Å³/cell